a) The following is a DFT calculation (meta-GGA SCAN) of a PBEsol-optimized structure of GeBiSe2.

Cell and atoms, written as CIF:
```
data_GeBiSe2
_cell_length_a 3.9204
_cell_length_b 3.9204
_cell_length_c 26.3754
_cell_angle_alpha 90.00
_cell_angle_beta 90.00
_cell_angle_gamma 120.00
_symmetry_space_group_name_H-M 'R -3 m'
_symmetry_Int_Tables_number 166
_symmetry_space_group_name_Hall '-R 3 2"'
loop_
_atom_site_label
_atom_site_type_symbol
_atom_site_fract_x
_atom_site_fract_y
_atom_site_fract_z
Ge1 Ge 0.0000 0.0000 0.0000
Bi1 Bi 0.0000 0.0000 0.5000
Se1 Se 0.0000 0.0000 0.0982
```

Calculated volume   29.3 Å³ per atom
M_tot   0.000 μB/cell


b) The following is a DFT calculation (meta-GGA SCAN) of a PBEsol-optimized structure of GeBiSe2.

Cell and atoms, written as CIF:
```
data_GeBiSe2
_cell_length_a 7.077
_cell_length_b 7.077
_cell_length_c 7.077
_cell_angle_alpha 90.00
_cell_angle_beta 90.00
_cell_angle_gamma 90.00
_symmetry_space_group_name_H-M 'F m -3 m'
_symmetry_Int_Tables_number 225
_symmetry_space_group_name_Hall '-F 4 2 3'
loop_
_atom_site_label
_atom_site_type_symbol
_atom_site_fract_x
_atom_site_fract_y
_atom_site_fract_z
Ge1 Ge 0.000 0.000 0.000
Bi1 Bi 0.000 0.000 0.500
Se1 Se 0.250 0.250 0.250
```

Calculated volume   22.2 Å³ per atom
M_tot   0.000 μB/cell


Computed relative energies in units of eV/atom: a) 0.015; b) 0.000


a) The following is a DFT calculation (meta-GGA SCAN) of a PBEsol-optimized structure of Ni2IrBr.

Cell and atoms, written as CIF:
```
data_Ni2IrBr
_cell_length_a 2.803
_cell_length_b 4.375
_cell_length_c 8.750
_cell_angle_alpha 90.00
_cell_angle_beta 90.00
_cell_angle_gamma 90.00
_symmetry_space_group_name_H-M 'I m m 2'
_symmetry_Int_Tables_number 44
_symmetry_space_group_name_Hall 'I 2 -2'
loop_
_atom_site_label
_atom_site_type_symbol
_atom_site_fract_x
_atom_site_fract_y
_atom_site_fract_z
Ni1 Ni 0.000 0.000 0.000
Ni2 Ni 0.000 0.500 0.248
Ir1 Ir 0.000 0.500 0.754
Br1 Br 0.000 0.000 0.503
```

Calculated volume   13.4 Å³ per atom
M_tot   0.002 μB/cell


b) The following is a DFT calculation (meta-GGA SCAN) of a PBEsol-optimized structure of Ni2IrBr.

Cell and atoms, written as CIF:
```
data_Ni2IrBr
_cell_length_a 7.871
_cell_length_b 2.853
_cell_length_c 6.087
_cell_angle_alpha 90.00
_cell_angle_beta 103.86
_cell_angle_gamma 90.00
_symmetry_space_group_name_H-M 'C 1 m 1'
_symmetry_Int_Tables_number 8
_symmetry_space_group_name_Hall 'C -2y'
loop_
_atom_site_label
_atom_site_type_symbol
_atom_site_fract_x
_atom_site_fract_y
_atom_site_fract_z
Ni1 Ni 0.000 0.000 0.000
Ni2 Ni 0.247 0.500 0.174
Ir1 Ir 0.495 0.000 0.324
Br1 Br 0.114 0.000 0.683
```

Calculated volume   16.6 Å³ per atom
M_tot   0.008 μB/cell


Computed relative energies in units of eV/atom: a) 0.293; b) 0.000